Entry from Alexandria via LeMat-Bulk: Sr5La3 after structural relaxation (PBE).

As for the space-group type: P6_3/mcm (193).

a = 10.9798 Å, b = 10.9798 Å, c = 7.2432 Å
α = 90.00°, β = 90.00°, γ = 120.00°
Element x y z (fractional)
Sr (0.0000, 0.2354, 0.2500)
Sr (0.0000, 0.7646, 0.7500)
Sr (0.2354, 0.0000, 0.2500)
Sr (0.2354, 0.2354, 0.7500)
Sr (0.3333, 0.6667, 0.0000)
Sr (0.3333, 0.6667, 0.5000)
Sr (0.6667, 0.3333, 0.0000)
Sr (0.6667, 0.3333, 0.5000)
Sr (0.7646, 0.0000, 0.7500)
Sr (0.7646, 0.7646, 0.2500)
La (0.0000, 0.4141, 0.7500)
La (0.0000, 0.5859, 0.2500)
La (0.4141, 0.0000, 0.7500)
La (0.4141, 0.4141, 0.2500)
La (0.5859, 0.0000, 0.2500)
La (0.5859, 0.5859, 0.7500)

Entry from Alexandria via LeMat-Bulk: SrLa5 after structural relaxation (PBE).

The calculation puts the energy relative to the lowest polymorph listed for this composition at 0.0 kJ per mole of atoms. As for the space-group type: P4/mmm (123).

a = 3.7731 Å, b = 3.7731 Å, c = 16.3987 Å
α = 90.00°, β = 90.00°, γ = 90.00°
Element x y z (fractional)
Sr (0.0000, 0.0000, 0.0000)
La (0.0000, 0.0000, 0.3389)
La (0.0000, 0.0000, 0.6611)
La (0.5000, 0.5000, 0.1888)
La (0.5000, 0.5000, 0.5000)
La (0.5000, 0.5000, 0.8112)

Entry from Alexandria via LeMat-Bulk: Sr3La5 after structural relaxation (PBE).

The calculation puts the energy relative to the lowest polymorph listed for this composition at 0.0 kJ per mole of atoms. As for the space-group type: Cmmm (65).

a = 7.8922 Å, b = 7.8922 Å, c = 5.3755 Å
α = 90.00°, β = 90.00°, γ = 92.74°
Element x y z (fractional)
Sr (0.0000, 0.0000, 0.0000)
Sr (0.2506, 0.2506, 0.5000)
Sr (0.7494, 0.7494, 0.5000)
La (0.0000, 0.5000, 0.0000)
La (0.2648, 0.7352, 0.5000)
La (0.5000, 0.0000, 0.0000)
La (0.5000, 0.5000, 0.0000)
La (0.7352, 0.2648, 0.5000)

Entry from Alexandria via LeMat-Bulk: Sr2La after structural relaxation (PBE).

The calculation puts the energy relative to the lowest polymorph listed for this composition at 25.5 kJ per mole of atoms. As for the space-group type: P6_3/mmc (194).

a = 7.4500 Å, b = 7.4500 Å, c = 12.3618 Å
α = 90.00°, β = 90.00°, γ = 120.00°
Element x y z (fractional)
Sr (0.0000, 0.0000, 0.0000)
Sr (0.0000, 0.0000, 0.5000)
Sr (0.1726, 0.3451, 0.2500)
Sr (0.1726, 0.8274, 0.2500)
Sr (0.3451, 0.1726, 0.7500)
Sr (0.6549, 0.8274, 0.2500)
Sr (0.8274, 0.1726, 0.7500)
Sr (0.8274, 0.6549, 0.7500)
La (0.3333, 0.6667, 0.5454)
La (0.3333, 0.6667, 0.9546)
La (0.6667, 0.3333, 0.0454)
La (0.6667, 0.3333, 0.4546)

Number 1: electronic total energy -2.660 eV/atom, energy of formation from the pure elements 0.239 eV/atom. Number 2: electronic total energy -4.341 eV/atom, energy of formation from the pure elements 0.045 eV/atom. Number 3: electronic total energy -3.548 eV/atom, energy of formation from the pure elements 0.162 eV/atom. Number 4: electronic total energy -2.400 eV/atom, energy of formation from the pure elements 0.363 eV/atom.